Density functional theory data (PBE) for a relaxed structure of Tb3DyHo3Te8.

Lattice parameters (Å, degrees): 8.6731 8.6731 21.2490 90.00 90.00 120.00
Space group R-3m (No. 166, hexagonal axes)
One atom of each set of equivalent atoms:
Tb 0.0000 0.5000 0.0000
Dy 0.0000 0.0000 0.5000
Ho 0.0000 0.5000 0.5000
Te 0.0000 0.0000 0.2490
Te 0.0089 0.5044 0.7488

ΔE_f (raw) (eV per formula unit): -20.42
Density of states at the Fermi level (states/eV per atom): 0.45


Density functional theory data (PBE) for a relaxed structure of LiTeN2.

Lattice parameters (Å, degrees): 3.5769 3.5769 16.7412 90.00 90.00 120.00
Space group R-3m (No. 166, hexagonal axes)
One atom of each set of equivalent atoms:
Li 0.0000 0.0000 0.0000
Te 0.0000 0.0000 0.5000
N 0.0000 0.0000 0.3843

ΔE_f (raw) (eV per formula unit): 4.32
Density of states at the Fermi level (states/eV per atom): 0.64


Density functional theory data (PBE) for a relaxed structure of TbIO5.

Lattice parameters (Å, degrees): 8.9460 6.4387 7.6918 90.00 115.52 90.00
Space group C2/c (No. 15)
One atom of each set of equivalent atoms:
Tb 0.0000 0.0384 0.2500
I 0.0000 0.5000 0.0000
O 0.0000 0.4132 0.2500
O 0.0088 0.2093 0.9721
O 0.2262 0.4872 0.6158

ΔE_f (raw) (eV per formula unit): -10.08


Density functional theory data (PBE) for a relaxed structure of BeI2Cl.

Lattice parameters (Å, degrees): 7.2454 7.2454 9.7491 90.00 90.00 90.00
Space group I-42d (No. 122)
One atom of each set of equivalent atoms:
Be 0.0000 0.0000 0.0000
I 0.1498 0.2500 0.1250
Cl 0.0000 0.0000 0.5000

ΔE_f (raw) (eV per formula unit): -0.47
Density of states at the Fermi level (states/eV per atom): 1.17
ΔE to the lowest computed polymorph (eV per formula unit): 0.00


Density functional theory data (PBE) for a relaxed structure of Sr2TmSb4Pd3.

Lattice parameters (Å, degrees): 4.5957 4.5957 12.1426 90.00 90.00 90.00
Space group P-4m2 (No. 115)
One atom of each set of equivalent atoms:
Sr 0.0000 0.5000 0.2360
Tm 0.0000 0.0000 0.5000
Sb 0.0000 0.0000 0.0000
Sb 0.0000 0.5000 0.6513
Sb 0.5000 0.5000 0.0000
Pd 0.0000 0.5000 0.8745
Pd 0.5000 0.5000 0.5000

ΔE_f (raw) (eV per formula unit): -8.38
Density of states at the Fermi level (states/eV per atom): 0.37


Density functional theory data (PBE) for a relaxed structure of AcAlHg3.

Lattice parameters (Å, degrees): 5.1970 5.1970 5.1970 90.00 90.00 90.00
Space group Pm-3m (No. 221)
One atom of each set of equivalent atoms:
Ac 0.0000 0.0000 0.0000
Al 0.5000 0.5000 0.5000
Hg 0.0000 0.5000 0.5000

Density of states at the Fermi level (states/eV per atom): 0.86
ΔE to the lowest computed polymorph (eV per formula unit): 0.96
Energy of formation (eV per atom): -0.143


Please write out number 3 again, unchanged.
Density functional theory data (PBE) for a relaxed structure of TbIO5.

Lattice parameters (Å, degrees): 8.9460 6.4387 7.6918 90.00 115.52 90.00
Space group C2/c (No. 15)
One atom of each set of equivalent atoms:
Tb 0.0000 0.0384 0.2500
I 0.0000 0.5000 0.0000
O 0.0000 0.4132 0.2500
O 0.0088 0.2093 0.9721
O 0.2262 0.4872 0.6158

ΔE_f (raw) (eV per formula unit): -10.08


Q: Which formula does entry 4 have?
A: BeI2Cl